Record 1
{
  "formula": "Nd2DyZn2Ga2",
  "functional": "PBE",
  "state": "relaxed",
  "m_tot_mub_per_fu": 0.00,
  "total_energy_ev_per_atom": -3.655,
  "ef_ev_per_atom": -0.407,
  "dos_ef_per_ev_atom": 0.58,
  "cell": [[-0.930, 4.001, 1.734], [-2.268, 0.299, 3.827], [7.171, 1.226, 6.752]],
  "species": ["Nd", "Nd", "Ga", "Ga", "Zn", "Zn", "Dy"],
  "fractional_positions": [[0.876, 0.876, 0.373], [0.124, 0.124, 0.627], [0.730, 0.730, 0.810], [0.270, 0.270, 0.190], [0.609, 0.609, 0.173], [0.391, 0.391, 0.827], [0.000, 0.000, 0.000]]
}

=====

Record 2
{
  "formula": "PaTiNbZn",
  "functional": "PBE",
  "state": "relaxed",
  "m_tot_mub_per_fu": 0.00,
  "total_energy_ev_per_atom": -7.066,
  "ef_ev_per_atom": 0.118,
  "dos_ef_per_ev_atom": 1.80,
  "cell": [[-4.089, -1.991, -1.203], [-1.598, -3.722, 2.393], [-3.748, 0.442, 2.809]],
  "species": ["Ti", "Nb", "Pa", "Zn"],
  "fractional_positions": [[0.250, 0.250, 0.250], [0.750, 0.750, 0.750], [0.000, 0.000, 0.000], [0.500, 0.500, 0.500]]
}

=====

Record 3
{
  "formula": "TiGa3Cu",
  "functional": "PBE",
  "state": "relaxed",
  "polymorph_energy_ev_per_atom": 0.0000,
  "m_tot_mub_per_fu": 0.00,
  "total_energy_ev_per_atom": -4.329,
  "ef_ev_per_atom": -0.115,
  "dos_ef_per_ev_atom": 0.48,
  "cell": [[3.953, -0.001, 0.000], [0.002, 6.346, 0.000], [0.000, 0.000, 6.451]],
  "species": ["Ti", "Ti", "Ga", "Ga", "Ga", "Ga", "Ga", "Ga", "Cu", "Cu"],
  "fractional_positions": [[0.250, 0.750, 0.698], [0.750, 0.250, 0.302], [0.750, 0.462, 0.711], [0.750, 0.750, 0.018], [0.750, 0.038, 0.711], [0.250, 0.538, 0.289], [0.250, 0.962, 0.289], [0.250, 0.250, 0.982], [0.250, 0.250, 0.599], [0.750, 0.750, 0.401]]
}